{"formula": "Dy2HoCo2B2As3", "functional": "PBE", "state": "relaxed", "total_energy_ev_per_cell": -62.95, "volume_a3_per_atom": 17.33, "lattice": [[10.864, 4.206, -0.095], [8.409, 7.001, 4.002], [-8.863, -7.560, -0.156]], "species": ["As", "As", "As", "B", "B", "Co", "Co", "Dy", "Dy", "Ho"], "frac_coords": [[0.124, 0.124, 0.000], [0.500, 0.500, 0.000], [0.876, 0.876, 0.000], [0.218, 0.218, 0.000], [0.782, 0.782, 0.000], [0.750, 0.250, 0.500], [0.250, 0.750, 0.500], [0.356, 0.356, 0.000], [0.644, 0.644, 0.000], [0.000, 0.000, 0.000]]}

=====

{"formula": "LaLuAsO", "functional": "PBE", "state": "relaxed", "volume_a3_per_atom": 25.31, "polymorph_energy_mev_per_atom": 62.4, "lattice": [[-4.067, 1.751, 0.718], [-2.897, -6.625, -0.256], [0.827, -0.600, 6.154]], "species": ["As", "As", "La", "La", "Lu", "Lu", "O", "O"], "frac_coords": [[0.000, 0.301, 0.424], [0.000, 0.699, 0.924], [0.000, 0.711, 0.434], [0.000, 0.289, 0.934], [0.500, 0.889, 0.027], [0.500, 0.111, 0.527], [0.500, 0.850, 0.370], [0.500, 0.150, 0.870]]}

=====

{"formula": "GaCoCuMo", "functional": "PBE", "state": "relaxed", "volume_a3_per_atom": 13.05, "polymorph_energy_mev_per_atom": 0.0, "lattice": [[2.984, -2.819, 0.863], [1.563, -0.278, 3.883], [-0.891, -3.334, 2.386]], "species": ["Co", "Cu", "Ga", "Mo"], "frac_coords": [[0.750, 0.750, 0.750], [0.250, 0.250, 0.250], [0.000, 0.000, 0.000], [0.500, 0.500, 0.500]]}

=====

{"formula": "Zr4Si3Mo2C3", "functional": "PBE", "state": "relaxed", "total_energy_ev_per_cell": -214.36, "volume_a3_per_atom": 14.87, "lattice": [[-0.046, -3.252, 4.582], [-1.636, -5.361, -0.395], [12.860, -0.657, -3.828]], "species": ["C", "C", "C", "C", "C", "C", "Mo", "Mo", "Mo", "Mo", "Si", "Si", "Si", "Si", "Si", "Si", "Zr", "Zr", "Zr", "Zr", "Zr", "Zr", "Zr", "Zr"], "frac_coords": [[0.500, 0.000, 0.000], [0.829, 0.335, 0.000], [0.171, 0.665, 0.000], [0.335, 0.829, 0.500], [0.000, 0.500, 0.500], [0.665, 0.171, 0.500], [0.528, 0.356, 0.084], [0.644, 0.472, 0.416], [0.356, 0.528, 0.584], [0.472, 0.644, 0.916], [0.584, 0.682, 0.250], [0.849, 0.151, 0.250], [0.318, 0.416, 0.250], [0.682, 0.584, 0.750], [0.151, 0.849, 0.750], [0.416, 0.318, 0.750], [0.871, 0.701, 0.102], [0.198, 0.037, 0.102], [0.963, 0.802, 0.398], [0.299, 0.129, 0.398], [0.701, 0.871, 0.602], [0.037, 0.198, 0.602], [0.802, 0.963, 0.898], [0.129, 0.299, 0.898]]}

=====

{"formula": "HfPaNO", "functional": "PBE", "state": "relaxed", "volume_a3_per_atom": 15.90, "polymorph_energy_mev_per_atom": 28.2, "lattice": [[6.598, 0.000, 0.000], [0.000, 8.101, 0.000], [0.000, 0.000, 4.760]], "species": ["Hf", "Hf", "Hf", "Hf", "N", "N", "N", "N", "O", "O", "O", "O", "Pa", "Pa", "Pa", "Pa"], "frac_coords": [[0.593, 0.120, 0.051], [0.093, 0.880, 0.051], [0.907, 0.120, 0.551], [0.407, 0.880, 0.551], [0.918, 0.097, 0.052], [0.418, 0.903, 0.052], [0.582, 0.097, 0.552], [0.082, 0.903, 0.552], [0.398, 0.329, 0.049], [0.898, 0.671, 0.049], [0.102, 0.329, 0.549], [0.602, 0.671, 0.549], [0.031, 0.374, 0.050], [0.531, 0.626, 0.050], [0.469, 0.374, 0.550], [0.969, 0.626, 0.550]]}

=====

{"formula": "Sr2HfFe", "functional": "PBE", "state": "relaxed", "volume_a3_per_atom": 24.86, "polymorph_energy_mev_per_atom": 0.0, "lattice": [[3.211, -3.711, 1.721], [-1.869, -3.957, 2.809], [-0.208, -4.775, -2.051]], "species": ["Fe", "Hf", "Sr", "Sr"], "frac_coords": [[0.250, 0.250, 0.250], [0.500, 0.500, 0.500], [0.000, 0.000, 0.000], [0.750, 0.750, 0.750]]}

=====

{"formula": "TbDyFe2B2N2", "functional": "PBE", "state": "relaxed", "total_energy_ev_per_cell": -64.04, "volume_a3_per_atom": 11.51, "lattice": [[-3.272, -0.801, -0.763], [0.496, -3.191, 1.225], [-2.211, 2.348, 7.012]], "species": ["B", "B", "Dy", "Fe", "Fe", "N", "N", "Tb"], "frac_coords": [[0.500, 0.500, 0.335], [0.000, 0.000, 0.665], [0.000, 0.000, 0.165], [0.500, 0.000, 0.500], [0.000, 0.500, 0.500], [0.500, 0.500, 0.142], [0.000, 0.000, 0.858], [0.500, 0.500, 0.834]]}

=====

{"formula": "SmEr2Hg5", "functional": "PBE", "state": "relaxed", "e_form_ev_per_atom": -0.434, "volume_a3_per_atom": 24.53, "lattice": [[-2.598, 2.598, 7.270], [2.598, -2.598, 7.270], [2.598, 2.598, -7.270]], "species": ["Er", "Er", "Hg", "Hg", "Hg", "Hg", "Hg", "Sm"], "frac_coords": [[0.265, 0.265, 0.000], [0.735, 0.735, 0.000], [0.500, 0.500, 0.000], [0.628, 0.128, 0.500], [0.872, 0.372, 0.500], [0.128, 0.628, 0.500], [0.372, 0.872, 0.500], [0.000, 0.000, 0.000]]}

=====

{"formula": "Na3Cu2Pb", "functional": "PBE", "state": "relaxed", "total_energy_ev_per_cell": -14.70, "volume_a3_per_atom": 21.94, "lattice": [[3.354, -2.607, -5.573], [4.565, -3.444, -0.227], [-1.688, -4.109, -3.319]], "species": ["Cu", "Cu", "Na", "Na", "Na", "Pb"], "frac_coords": [[0.258, 0.258, 0.242], [0.758, 0.758, 0.742], [0.162, 0.841, 0.159], [0.658, 0.658, 0.342], [0.841, 0.162, 0.838], [0.323, 0.323, 0.677]]}

=====

{"formula": "GdHfSn", "functional": "PBE", "state": "relaxed", "total_energy_ev_per_cell": -16.68, "volume_a3_per_atom": 30.57, "lattice": [[4.368, 0.120, 2.555], [0.262, 2.391, 4.454], [0.505, -2.662, 4.276]], "species": ["Gd", "Hf", "Sn"], "frac_coords": [[0.000, 0.000, 0.000], [0.250, 0.250, 0.250], [0.750, 0.750, 0.750]]}

=====

{"formula": "KAcZn", "functional": "PBE", "state": "relaxed", "volume_a3_per_atom": 39.60, "polymorph_energy_mev_per_atom": 0.0, "lattice": [[-2.793, -0.501, 4.732], [-4.647, 2.872, 0.778], [-4.869, -2.596, 0.069]], "species": ["Ac", "K", "Zn"], "frac_coords": [[0.250, 0.250, 0.250], [0.750, 0.750, 0.750], [0.000, 0.000, 0.000]]}

=====

{"formula": "Tm2LuO4", "functional": "PBE", "state": "relaxed", "total_energy_ev_per_cell": -112.71, "volume_a3_per_atom": 14.59, "lattice": [[2.008, 5.882, 2.248], [4.388, -4.238, -2.544], [-4.370, 2.999, -3.949]], "species": ["Lu", "Lu", "O", "O", "O", "O", "O", "O", "O", "O", "Tm", "Tm", "Tm", "Tm"], "frac_coords": [[0.000, 0.000, 0.000], [0.750, 0.500, 0.250], [0.617, 0.235, 0.383], [0.148, 0.765, 0.383], [0.617, 0.765, 0.383], [0.133, 0.265, 0.398], [0.617, 0.235, 0.852], [0.133, 0.735, 0.867], [0.133, 0.265, 0.867], [0.602, 0.735, 0.867], [0.375, 0.750, 0.125], [0.875, 0.250, 0.625], [0.375, 0.250, 0.625], [0.375, 0.750, 0.625]]}

=====

Repeat the eleventh record exactly.
{"formula": "KAcZn", "functional": "PBE", "state": "relaxed", "volume_a3_per_atom": 39.60, "polymorph_energy_mev_per_atom": 0.0, "lattice": [[-2.793, -0.501, 4.732], [-4.647, 2.872, 0.778], [-4.869, -2.596, 0.069]], "species": ["Ac", "K", "Zn"], "frac_coords": [[0.250, 0.250, 0.250], [0.750, 0.750, 0.750], [0.000, 0.000, 0.000]]}